The following is a GGA-PBE calculation of a geometry-optimized Rb2CdP2Se6 structure, from the Alexandria database.

Formation energy from raw total energies = -505 meV per atom
Symmetry = No. 12

Lattice parameters (Å, degrees): 7.617 7.617 7.561 105.39 105.39 55.78
Fractional positions:
Rb 0.206 0.206 0.208
Rb 0.794 0.794 0.792
Cd 0.000 0.000 0.500
P 0.482 0.482 0.836
P 0.518 0.518 0.164
Se 0.174 0.690 0.201
Se 0.310 0.826 0.799
Se 0.315 0.315 0.711
Se 0.685 0.685 0.289
Se 0.690 0.174 0.201
Se 0.826 0.310 0.799